## SnOsSN2 (PBE)

Data for crystalline SnOsSN2 at its relaxed geometry.

Density of states at the Fermi level: 3.37 states/eV per cell
E_form (uncorrected): 2.08 eV/atom
Theoretical density: 7.2 g/cm3
ΔE to the lowest computed polymorph: 151.0 kJ/mol of atoms

a b c (Å): 3.967 3.967 5.439
angles (deg): 90.00 90.00 90.00
Space group P4/mmm (No. 123)
Unique sites:
Sn: 0.000 0.000 0.000 x1
Os: 0.500 0.500 0.500 x1
S: 0.000 0.000 0.500 x1
N: 0.000 0.500 0.000 x2